(1)
DFT (GGA-PBE) results for a geometry-optimized NbTe6Ir structure.

```
NbTe6Ir
1.0
6.7127 0.0000 0.0000
3.2383 5.8946 0.0000
3.2689 1.9183 5.5944
Nb Te Ir
1 6 1
Direct
0.0000 0.0000 0.0000 Nb
0.0691 0.7241 0.4407 Te
0.2697 0.5581 0.9305 Te
0.4438 0.0680 0.7237 Te
0.5562 0.9320 0.2763 Te
0.7303 0.4419 0.0695 Te
0.9309 0.2759 0.5593 Te
0.5000 0.5000 0.5000 Ir
```

Results
* raw formation energy: -0.1125 eV per atom
* space-group type: P-1 (2)

(2)
DFT (GGA-PBE) results for a geometry-optimized Nb3TeIr structure.

```
Nb3TeIr
1.0
4.9155 0.0000 0.0000
0.0000 4.9155 0.0000
0.0000 0.0000 4.9155
Nb Te Ir
3 1 1
Direct
0.0000 0.0000 0.5000 Nb
0.0000 0.5000 0.0000 Nb
0.5000 0.0000 0.0000 Nb
0.5000 0.5000 0.5000 Te
0.0000 0.0000 0.0000 Ir
```

Results
* raw formation energy: 0.7792 eV per atom
* energy relative to the lowest polymorph listed for this composition: 0.00 eV per formula unit
* space-group type: Pm-3m (221)

Number 1: DOS(E_F) 0.8250 states/eV per atom. Number 2: DOS(E_F) 1.5859 states/eV per atom.